PBE ZrFeP, relaxed; SG = P2_1/c, No. 14; DOS(E_F) = 0.754 states/eV per atom; formation energy = -237.2 kJ/mol of formula units
1.0
-7.204 -8.436 10.534
4.991 -0.638 2.902
2.439 4.985 -3.098
Zr P Fe
4 4 4
Direct
0.814 0.845 0.734 Zr
0.314 0.655 0.234 Zr
0.186 0.155 0.266 Zr
0.686 0.345 0.766 Zr
0.579 0.085 0.882 P
0.079 0.415 0.382 P
0.421 0.915 0.118 P
0.921 0.585 0.618 P
0.321 0.616 0.704 Fe
0.179 0.116 0.796 Fe
0.679 0.384 0.296 Fe
0.821 0.884 0.204 Fe

PBE Ce2PrY3Sb6, relaxed; SG = C2/m, No. 12; DOS(E_F) = 1.108 states/eV per atom; raw formation energy = -1.132 eV per atom
1.0
-7.657 -0.146 -1.025
3.337 -4.960 4.896
0.625 6.486 4.112
Sb Y Ce Pr
6 3 2 1
Direct
0.086 0.422 0.257 Sb
0.749 0.749 0.257 Sb
0.251 0.251 0.743 Sb
0.914 0.578 0.743 Sb
0.578 0.914 0.743 Sb
0.422 0.086 0.257 Sb
0.835 0.165 0.500 Y
0.500 0.500 0.500 Y
0.165 0.835 0.500 Y
0.667 0.333 0.000 Ce
0.333 0.667 0.000 Ce
0.000 0.000 0.000 Pr

PBE RbH3Pd, relaxed; SG = Pmc2_1, No. 26; E above lowest polymorph = 0.00 eV per formula unit; DOS(E_F) = 0.228 states/eV per atom
1.0
-2.827 1.921 1.062
-2.905 -2.665 -2.913
-1.223 -5.006 5.799
H Rb Pd
6 2 2
Direct
0.550 0.579 0.265 H
0.550 0.745 0.690 H
0.550 0.078 0.953 H
0.050 0.622 0.487 H
0.550 0.245 0.528 H
0.050 0.122 0.731 H
0.050 0.107 0.278 Rb
0.050 0.607 0.940 Rb
0.550 0.618 0.487 Pd
0.550 0.118 0.731 Pd

PBE In3IrBr, relaxed; SG = C2/c, No. 15; E above lowest polymorph = 1.83 eV per formula unit; DOS(E_F) = 0.311 states/eV per atom; raw formation energy = -0.012 eV per atom
1.0
12.597 0.000 -0.144
5.251 6.183 -3.382
-5.251 6.183 3.382
Ir In Br
4 12 4
Direct
0.099 0.362 0.336 Ir
0.901 0.638 0.664 Ir
0.599 0.164 0.138 Ir
0.401 0.836 0.862 Ir
0.223 0.902 0.984 In
0.314 0.606 0.742 In
0.277 0.484 0.402 In
0.814 0.758 0.894 In
0.186 0.242 0.106 In
0.052 0.290 0.601 In
0.686 0.394 0.258 In
0.448 0.101 0.790 In
0.723 0.516 0.598 In
0.777 0.098 0.016 In
0.948 0.710 0.399 In
0.552 0.899 0.210 In
0.750 0.505 0.005 Br
0.250 0.947 0.447 Br
0.250 0.495 0.995 Br
0.750 0.053 0.553 Br

PBE Pm2Y12Tm5, relaxed; SG = P-1, No. 2; E above lowest polymorph = 0.00 eV per formula unit; DOS(E_F) = 1.550 states/eV per atom; formation energy = 47.7 kJ/mol of formula units
1.0
5.913 1.213 -1.249
-1.167 8.048 -7.762
-1.557 -2.878 15.151
Y Tm Pm
12 5 2
Direct
0.054 0.580 0.396 Y
0.527 0.791 0.448 Y
0.314 0.472 0.868 Y
0.633 0.948 0.238 Y
0.107 0.159 0.291 Y
0.210 0.318 0.079 Y
0.473 0.209 0.552 Y
0.790 0.682 0.921 Y
0.893 0.841 0.709 Y
0.367 0.052 0.761 Y
0.686 0.528 0.132 Y
0.946 0.420 0.604 Y
0.579 0.371 0.344 Tm
0.000 0.000 0.500 Tm
0.842 0.263 0.815 Tm
0.421 0.629 0.656 Tm
0.158 0.737 0.184 Tm
0.735 0.105 0.026 Pm
0.265 0.895 0.974 Pm

PBE Cs2NpBr8, relaxed; SG = C2/m, No. 12; DOS(E_F) = 0.492 states/eV per atom; raw formation energy = -1.246 eV per atom
1.0
2.303 -7.754 2.770
8.663 -4.517 -2.035
4.132 -1.968 8.868
Br Cs Np
8 2 1
Direct
0.710 0.254 0.254 Br
0.795 0.567 0.567 Br
0.261 0.138 0.822 Br
0.739 0.178 0.862 Br
0.205 0.433 0.433 Br
0.290 0.746 0.746 Br
0.739 0.862 0.178 Br
0.261 0.822 0.138 Br
0.814 0.784 0.784 Cs
0.186 0.216 0.216 Cs
0.000 0.000 0.000 Np

PBE CeInAgRu, relaxed; SG = F-43m, No. 216; DOS(E_F) = 1.232 states/eV per atom; formation energy = -43.9 kJ/mol of formula units
1.0
4.884 0.000 0.000
2.442 4.230 0.000
2.442 1.410 3.988
Ce Ag Ru In
1 1 1 1
Direct
0.500 0.500 0.500 Ce
0.250 0.250 0.250 Ag
0.750 0.750 0.750 Ru
0.000 0.000 0.000 In

PBE Zr2CuGeH, relaxed; SG = P4/mmm, No. 123; uncorrected energy = -6.2376 eV/atom; DOS(E_F) = 0.474 states/eV per atom
1.0
4.342 0.000 0.000
0.000 4.342 0.000
0.000 0.000 3.914
Zr Ge H Cu
2 1 1 1
Direct
0.000 0.500 0.000 Zr
0.500 0.000 0.000 Zr
0.500 0.500 0.500 Ge
0.000 0.000 0.000 H
0.000 0.000 0.500 Cu

PBE CePuFe, relaxed; SG = P-6m2, No. 187; E above lowest polymorph = 0.54 eV per formula unit; DOS(E_F) = 2.306 states/eV per atom; formation energy = 68.7 kJ/mol of formula units
1.0
-1.806 -2.066 -0.431
2.789 -2.968 2.537
-3.428 2.538 2.199
Pu Ce Fe
1 1 1
Direct
0.833 0.000 0.000 Pu
0.833 0.333 0.667 Ce
0.333 0.667 0.333 Fe

PBE AuS2, relaxed; SG = Pn-3m, No. 224; DOS(E_F) = 1.062 states/eV per atom; raw formation energy = 0.840 eV per atom
1.0
5.394 0.000 0.000
0.000 5.394 0.000
0.000 0.000 5.394
S Au
4 2
Direct
0.750 0.750 0.250 S
0.750 0.250 0.750 S
0.250 0.750 0.750 S
0.250 0.250 0.250 S
0.500 0.500 0.500 Au
0.000 0.000 0.000 Au

PBE NaVFeCo2, relaxed; SG = P4/mmm, No. 123; DOS(E_F) = 1.398 states/eV per atom; formation energy = 708.3 kJ/mol of formula units
1.0
-3.456 -2.225 0.732
1.656 -3.469 -2.723
1.825 -1.741 3.327
Na V Fe Co
1 1 1 2
Direct
0.000 0.500 0.000 Na
0.000 0.000 0.000 V
0.500 0.500 0.500 Fe
0.500 0.000 0.000 Co
0.000 0.000 0.500 Co

PBE KNa3H6Pt2, relaxed; SG = P-3m1, No. 164; uncorrected energy = -3.2479 eV/atom; DOS(E_F) = 0.001 states/eV per atom
1.0
5.032 0.000 0.000
-2.516 4.358 0.000
0.000 0.000 7.858
K H Na Pt
1 6 3 2
Direct
0.000 0.000 0.500 K
0.826 0.653 0.770 H
0.174 0.347 0.230 H
0.826 0.174 0.770 H
0.174 0.826 0.230 H
0.347 0.174 0.770 H
0.653 0.826 0.230 H
0.000 0.000 0.000 Na
0.667 0.333 0.231 Na
0.333 0.667 0.769 Na
0.333 0.667 0.119 Pt
0.667 0.333 0.881 Pt

Q: Which ρ values were calculated for the entries above? A: 6.63 6.27 4.76 7.91 6.04 3.36 9.35 7.19 13.19 5.53 5.01 4.86, in Mg/m³.